The following is a PBE-GGA calculation of an optimized crystal structure of La2Al3Os2, from the Alexandria database.

Results
The value obtained for the formation energy is -0.441 eV/atom.

a b c (Å): 10.615 4.133 7.487
angles (deg): 90.00 116.86 90.00
Positions (direct):
La: 0.141 0.000 0.260
La: 0.359 0.500 0.740
La: 0.641 0.500 0.260
La: 0.859 0.000 0.740
Al: 0.000 0.500 0.500
Al: 0.150 0.500 0.935
Al: 0.350 0.000 0.065
Al: 0.500 0.000 0.500
Al: 0.650 0.000 0.935
Al: 0.850 0.500 0.065
Os: 0.125 0.000 0.706
Os: 0.375 0.500 0.294
Os: 0.625 0.500 0.706
Os: 0.875 0.000 0.294



The following is a PBE-GGA calculation of an optimized crystal structure of LaAl4Os, from the Alexandria database.

Results
The value obtained for the formation energy is 0.100 eV/atom.

a b c (Å): 5.383 5.383 5.383
angles (deg): 60.00 60.00 60.00
Positions (direct):
La: 0.000 0.000 0.000
Al: 0.376 0.376 0.376
Al: 0.376 0.376 0.872
Al: 0.376 0.872 0.376
Al: 0.872 0.376 0.376
Os: 0.750 0.750 0.750



The following is a PBE-GGA calculation of an optimized crystal structure of La2AlOs, from the Alexandria database.

Results
The value obtained for the formation energy is -0.123 eV/atom.

a b c (Å): 3.324 3.324 9.033
angles (deg): 90.00 90.00 90.00
Positions (direct):
La: 0.000 0.000 0.000
La: 0.500 0.500 0.396
Al: 0.500 0.500 0.743
Os: 0.000 0.000 0.615



The following is a PBE-GGA calculation of an optimized crystal structure of LaAl2Os2, from the Alexandria database.

Results
Its energy above the lowest structure with this stoichiometry is 0.0 meV/atom. The value obtained for the formation energy is -0.345 eV/atom.

a b c (Å): 4.295 4.295 10.547
angles (deg): 90.00 90.00 90.00
Positions (direct):
La: 0.000 0.000 0.000
La: 0.500 0.500 0.500
Al: 0.000 0.500 0.250
Al: 0.000 0.500 0.750
Al: 0.500 0.000 0.250
Al: 0.500 0.000 0.750
Os: 0.000 0.000 0.386
Os: 0.000 0.000 0.614
Os: 0.500 0.500 0.114
Os: 0.500 0.500 0.886



The following is a PBE-GGA calculation of an optimized crystal structure of LaAlOs2, from the Alexandria database.

Results
Its energy above the lowest structure with this stoichiometry is 526.8 meV/atom. The value obtained for the formation energy is 0.507 eV/atom.

a b c (Å): 6.648 6.648 6.648
angles (deg): 90.00 90.00 90.00
Positions (direct):
La: 0.000 0.000 0.000
La: 0.000 0.500 0.500
La: 0.500 0.000 0.500
La: 0.500 0.500 0.000
Al: 0.250 0.250 0.750
Al: 0.250 0.750 0.250
Al: 0.750 0.250 0.250
Al: 0.750 0.750 0.750
Os: 0.000 0.000 0.500
Os: 0.000 0.500 0.000
Os: 0.250 0.250 0.250
Os: 0.250 0.750 0.750
Os: 0.500 0.000 0.000
Os: 0.500 0.500 0.500
Os: 0.750 0.250 0.750
Os: 0.750 0.750 0.250



The following is a PBE-GGA calculation of an optimized crystal structure of La2AlOs, from the Alexandria database.

Results
The value obtained for the formation energy is -0.278 eV/atom.

a b c (Å): 8.356 3.978 7.462
angles (deg): 90.00 108.87 90.00
Positions (direct):
La: 0.000 0.000 0.000
La: 0.157 0.000 0.542
La: 0.500 0.500 0.000
La: 0.657 0.500 0.542
Al: 0.276 0.500 0.272
Al: 0.776 0.000 0.272
Os: 0.469 0.000 0.269
Os: 0.969 0.500 0.269



The following is a PBE-GGA calculation of an optimized crystal structure of LaAlOs2, from the Alexandria database.

Results
Its energy above the lowest structure with this stoichiometry is 279.5 meV/atom. The value obtained for the formation energy is 0.259 eV/atom.

a b c (Å): 6.593 6.593 6.593
angles (deg): 90.00 90.00 90.00
Positions (direct):
La: 0.000 0.000 0.000
La: 0.000 0.500 0.500
La: 0.500 0.000 0.500
La: 0.500 0.500 0.000
Al: 0.000 0.000 0.500
Al: 0.000 0.500 0.000
Al: 0.500 0.000 0.000
Al: 0.500 0.500 0.500
Os: 0.250 0.250 0.250
Os: 0.250 0.250 0.750
Os: 0.250 0.750 0.250
Os: 0.250 0.750 0.750
Os: 0.750 0.250 0.250
Os: 0.750 0.250 0.750
Os: 0.750 0.750 0.250
Os: 0.750 0.750 0.750



The following is a PBE-GGA calculation of an optimized crystal structure of LaAlOs2, from the Alexandria database.

Results
Its energy above the lowest structure with this stoichiometry is 388.2 meV/atom. The value obtained for the formation energy is 0.368 eV/atom.

a b c (Å): 3.146 5.297 8.792
angles (deg): 90.00 90.00 90.00
Positions (direct):
La: 0.000 0.000 0.000
La: 0.500 0.500 0.500
Al: 0.000 0.000 0.500
Al: 0.500 0.500 0.000
Os: 0.000 0.500 0.228
Os: 0.000 0.500 0.772
Os: 0.500 0.000 0.272
Os: 0.500 0.000 0.728



The following is a PBE-GGA calculation of an optimized crystal structure of LaAlOs, from the Alexandria database.

Results
The value obtained for the formation energy is 0.263 eV/atom.

a b c (Å): 3.151 3.151 7.079
angles (deg): 90.00 90.00 120.00
Positions (direct):
La: 0.000 0.000 0.000
Al: 0.333 0.667 0.595
Os: 0.667 0.333 0.346



The following is a PBE-GGA calculation of an optimized crystal structure of LaAlOs, from the Alexandria database.

Results
The value obtained for the formation energy is -0.211 eV/atom.

a b c (Å): 3.284 3.284 11.533
angles (deg): 90.00 90.00 90.00
Positions (direct):
La: 0.000 0.000 0.000
La: 0.500 0.500 0.500
Al: 0.000 0.000 0.727
Al: 0.500 0.500 0.227
Os: 0.000 0.000 0.323
Os: 0.500 0.500 0.823



The following is a PBE-GGA calculation of an optimized crystal structure of LaAlOs2, from the Alexandria database.

Results
Its energy above the lowest structure with this stoichiometry is 304.7 meV/atom. The value obtained for the formation energy is 0.285 eV/atom.

a b c (Å): 4.579 4.579 3.449
angles (deg): 90.00 90.00 90.00
Positions (direct):
La: 0.000 0.000 0.000
Al: 0.500 0.500 0.000
Os: 0.000 0.500 0.500
Os: 0.500 0.000 0.500



The following is a PBE-GGA calculation of an optimized crystal structure of La2AlOs2, from the Alexandria database.

Results
The value obtained for the formation energy is -0.105 eV/atom.

a b c (Å): 6.928 6.928 4.688
angles (deg): 90.00 90.00 90.00
Positions (direct):
La: 0.183 0.317 0.000
La: 0.317 0.817 0.000
La: 0.683 0.183 0.000
La: 0.817 0.683 0.000
Al: 0.000 0.000 0.500
Al: 0.500 0.500 0.500
Os: 0.126 0.626 0.500
Os: 0.374 0.126 0.500
Os: 0.626 0.874 0.500
Os: 0.874 0.374 0.500



The following is a PBE-GGA calculation of an optimized crystal structure of La2AlOs, from the Alexandria database.

Results
The value obtained for the formation energy is -0.162 eV/atom.

a b c (Å): 3.476 5.020 11.342
angles (deg): 90.00 90.00 90.00
Positions (direct):
La: 0.000 0.000 0.000
La: 0.000 0.500 0.199
La: 0.500 0.000 0.699
La: 0.500 0.500 0.500
Al: 0.000 0.000 0.394
Al: 0.500 0.500 0.894
Os: 0.000 0.500 0.731
Os: 0.500 0.000 0.231



The following is a PBE-GGA calculation of an optimized crystal structure of LaAlOs2, from the Alexandria database.

Results
Its energy above the lowest structure with this stoichiometry is 419.4 meV/atom. The value obtained for the formation energy is 0.399 eV/atom.

a b c (Å): 2.930 2.930 29.381
angles (deg): 90.00 90.00 120.00
Positions (direct):
La: 0.000 0.000 0.000
La: 0.333 0.667 0.667
La: 0.667 0.333 0.333
Al: 0.000 0.000 0.233
Al: 0.333 0.667 0.900
Al: 0.667 0.333 0.566
Os: 0.000 0.000 0.496
Os: 0.000 0.000 0.761
Os: 0.333 0.667 0.163
Os: 0.333 0.667 0.428
Os: 0.667 0.333 0.095
Os: 0.667 0.333 0.829



The following is a PBE-GGA calculation of an optimized crystal structure of LaAlOs4, from the Alexandria database.

Results
The value obtained for the formation energy is 0.222 eV/atom.

a b c (Å): 5.330 5.330 5.330
angles (deg): 60.00 60.00 60.00
Positions (direct):
La: 0.000 0.000 0.000
Al: 0.250 0.250 0.250
Os: 0.128 0.624 0.624
Os: 0.624 0.128 0.624
Os: 0.624 0.624 0.128
Os: 0.624 0.624 0.624



The following is a PBE-GGA calculation of an optimized crystal structure of LaAlOs2, from the Alexandria database.

Results
Its energy above the lowest structure with this stoichiometry is 307.2 meV/atom. The value obtained for the formation energy is 0.287 eV/atom.

a b c (Å): 3.118 4.895 9.019
angles (deg): 90.00 90.00 90.00
Positions (direct):
La: 0.000 0.000 0.000
La: 0.500 0.500 0.000
Al: 0.000 0.000 0.500
Al: 0.500 0.500 0.500
Os: 0.000 0.500 0.281
Os: 0.000 0.500 0.719
Os: 0.500 0.000 0.281
Os: 0.500 0.000 0.719



The following is a PBE-GGA calculation of an optimized crystal structure of LaAlOs, from the Alexandria database.

Results
The value obtained for the formation energy is -0.007 eV/atom.

a b c (Å): 6.551 6.551 6.551
angles (deg): 90.00 90.00 90.00
Positions (direct):
La: 0.000 0.000 0.000
La: 0.000 0.500 0.500
La: 0.500 0.000 0.500
La: 0.500 0.500 0.000
Al: 0.000 0.000 0.500
Al: 0.000 0.500 0.000
Al: 0.500 0.000 0.000
Al: 0.500 0.500 0.500
Os: 0.250 0.250 0.750
Os: 0.250 0.750 0.250
Os: 0.750 0.250 0.250
Os: 0.750 0.750 0.750



The following is a PBE-GGA calculation of an optimized crystal structure of LaAl2Os2, from the Alexandria database.

Results
Its energy above the lowest structure with this stoichiometry is 118.7 meV/atom. The value obtained for the formation energy is -0.226 eV/atom.

a b c (Å): 7.600 7.600 3.003
angles (deg): 90.00 90.00 90.00
Positions (direct):
La: 0.000 0.000 0.000
La: 0.500 0.500 0.000
Al: 0.135 0.365 0.500
Al: 0.365 0.865 0.500
Al: 0.635 0.135 0.500
Al: 0.865 0.635 0.500
Os: 0.154 0.654 0.000
Os: 0.346 0.154 0.000
Os: 0.654 0.846 0.000
Os: 0.846 0.346 0.000



The following is a PBE-GGA calculation of an optimized crystal structure of LaAlOs2, from the Alexandria database.

Results
Its energy above the lowest structure with this stoichiometry is 194.1 meV/atom. The value obtained for the formation energy is 0.174 eV/atom.

a b c (Å): 2.961 4.102 6.276
angles (deg): 90.00 99.61 90.00
Positions (direct):
La: 0.000 0.000 0.000
Al: 0.500 0.000 0.500
Os: 0.273 0.500 0.685
Os: 0.727 0.500 0.315



The following is a PBE-GGA calculation of an optimized crystal structure of LaAlOs, from the Alexandria database.

Results
The value obtained for the formation energy is -0.315 eV/atom.

a b c (Å): 4.095 4.095 15.438
angles (deg): 90.00 90.00 90.00
Positions (direct):
La: 0.000 0.000 0.168
La: 0.000 0.000 0.832
La: 0.500 0.500 0.332
La: 0.500 0.500 0.668
Al: 0.000 0.500 0.000
Al: 0.000 0.500 0.500
Al: 0.500 0.000 0.000
Al: 0.500 0.000 0.500
Os: 0.000 0.000 0.396
Os: 0.000 0.000 0.604
Os: 0.500 0.500 0.104
Os: 0.500 0.500 0.896



The following is a PBE-GGA calculation of an optimized crystal structure of LaAlOs2, from the Alexandria database.

Results
Its energy above the lowest structure with this stoichiometry is 248.4 meV/atom. The value obtained for the formation energy is 0.228 eV/atom.

a b c (Å): 4.687 4.687 17.210
angles (deg): 90.00 90.00 90.00
Positions (direct):
La: 0.000 0.000 0.000
La: 0.000 0.500 0.250
La: 0.500 0.000 0.750
La: 0.500 0.500 0.500
Al: 0.000 0.000 0.500
Al: 0.000 0.500 0.750
Al: 0.500 0.000 0.250
Al: 0.500 0.500 0.000
Os: 0.082 0.250 0.625
Os: 0.250 0.582 0.875
Os: 0.250 0.918 0.375
Os: 0.418 0.250 0.125
Os: 0.582 0.750 0.125
Os: 0.750 0.082 0.375
Os: 0.750 0.418 0.875
Os: 0.918 0.750 0.625



The following is a PBE-GGA calculation of an optimized crystal structure of La2AlOs2, from the Alexandria database.

Results
The value obtained for the formation energy is 0.169 eV/atom.

a b c (Å): 3.602 3.602 19.131
angles (deg): 90.00 90.00 90.00
Positions (direct):
La: 0.000 0.000 0.112
La: 0.000 0.000 0.888
La: 0.500 0.500 0.388
La: 0.500 0.500 0.612
Al: 0.000 0.000 0.500
Al: 0.500 0.500 0.000
Os: 0.000 0.500 0.250
Os: 0.000 0.500 0.750
Os: 0.500 0.000 0.250
Os: 0.500 0.000 0.750



The following is a PBE-GGA calculation of an optimized crystal structure of LaAl3Os2, from the Alexandria database.

Results
The value obtained for the formation energy is -0.443 eV/atom.

a b c (Å): 6.550 6.550 5.362
angles (deg): 90.00 90.00 78.73
Positions (direct):
La: 0.157 0.843 0.750
La: 0.843 0.157 0.250
Al: 0.041 0.584 0.250
Al: 0.416 0.959 0.250
Al: 0.447 0.553 0.250
Al: 0.553 0.447 0.750
Al: 0.584 0.041 0.750
Al: 0.959 0.416 0.750
Os: 0.288 0.288 0.000
Os: 0.288 0.288 0.500
Os: 0.712 0.712 0.000
Os: 0.712 0.712 0.500



The following is a PBE-GGA calculation of an optimized crystal structure of La2Al4Os, from the Alexandria database.

Results
The value obtained for the formation energy is -0.289 eV/atom.

a b c (Å): 4.703 4.703 15.758
angles (deg): 90.00 90.00 90.00
Positions (direct):
La: 0.000 0.000 0.146
La: 0.000 0.000 0.854
La: 0.500 0.500 0.354
La: 0.500 0.500 0.646
Al: 0.000 0.000 0.344
Al: 0.000 0.000 0.656
Al: 0.000 0.500 0.000
Al: 0.000 0.500 0.500
Al: 0.500 0.000 0.000
Al: 0.500 0.000 0.500
Al: 0.500 0.500 0.156
Al: 0.500 0.500 0.844
Os: 0.000 0.000 0.500
Os: 0.500 0.500 0.000



The following is a PBE-GGA calculation of an optimized crystal structure of La3Al4Os4, from the Alexandria database.

Results
The value obtained for the formation energy is -0.088 eV/atom.

a b c (Å): 6.726 6.726 6.726
angles (deg): 109.47 109.47 109.47
Positions (direct):
La: 0.000 0.500 0.500
La: 0.500 0.000 0.500
La: 0.500 0.500 0.000
Al: 0.000 0.000 0.743
Al: 0.000 0.743 0.000
Al: 0.257 0.257 0.257
Al: 0.743 0.000 0.000
Os: 0.000 0.000 0.375
Os: 0.000 0.375 0.000
Os: 0.375 0.000 0.000
Os: 0.625 0.625 0.625



The following is a PBE-GGA calculation of an optimized crystal structure of La2AlOs, from the Alexandria database.

Results
The value obtained for the formation energy is 0.103 eV/atom.

a b c (Å): 4.127 4.127 24.255
angles (deg): 90.00 90.00 120.00
Positions (direct):
La: 0.000 0.000 0.232
La: 0.000 0.000 0.768
La: 0.333 0.667 0.435
La: 0.333 0.667 0.899
La: 0.667 0.333 0.101
La: 0.667 0.333 0.565
Al: 0.000 0.000 0.000
Al: 0.333 0.667 0.667
Al: 0.667 0.333 0.333
Os: 0.000 0.000 0.500
Os: 0.333 0.667 0.167
Os: 0.667 0.333 0.833



The following is a PBE-GGA calculation of an optimized crystal structure of La2Al6Os, from the Alexandria database.

Results
The value obtained for the formation energy is -0.418 eV/atom.

a b c (Å): 6.123 6.123 5.717
angles (deg): 90.00 90.00 120.00
Positions (direct):
La: 0.333 0.667 0.311
La: 0.667 0.333 0.689
Al: 0.168 0.335 0.813
Al: 0.168 0.832 0.813
Al: 0.335 0.168 0.187
Al: 0.665 0.832 0.813
Al: 0.832 0.168 0.187
Al: 0.832 0.665 0.187
Os: 0.000 0.000 0.500